Density functional theory data (PBE) for crystalline BaAgN3 at its relaxed geometry.

Results
The value obtained for the formation energy (no corrections) is 1.4522 eV per atom. The value obtained for the density of states at the Fermi level is 6.01 states/eV per cell. Its total moment is 0.000 μB per atom.

Cell: 4.2368 4.2368 4.2368 Å, 90.00 90.00 90.00°
Space group Pm-3m (No. 221)
Unique sites:
Ba: 0.0000 0.0000 0.0000 [1 per cell]
Ag: 0.5000 0.5000 0.5000 [1 per cell]
N: 0.0000 0.5000 0.5000 [3 per cell]

Density functional theory data (PBE) for crystalline Ba5Ag2N2 at its relaxed geometry.

Results
The value obtained for the formation energy (no corrections) is -0.3081 eV per atom. The value obtained for the density of states at the Fermi level is 7.12 states/eV per cell. Its total moment is 0.000 μB per atom.

Cell: 17.2306 4.9022 7.9006 Å, 90.00 95.19 90.00°
Space group C2/m (No. 12)
Unique sites:
Ba: 0.0000 0.0000 0.0000 [2 per cell]
Ba: 0.1260 0.0000 0.6015 [4 per cell]
Ba: 0.1786 0.5000 0.0638 [4 per cell]
Ag: 0.0196 0.5000 0.3307 [4 per cell]
N: 0.1603 0.0000 0.9121 [4 per cell]

Density functional theory data (PBE) for crystalline BaAg2N4 at its relaxed geometry.

Results
The value obtained for the formation energy (no corrections) is 2.0332 eV per atom. The value obtained for the density of states at the Fermi level is 8.61 states/eV per cell. Its total moment is 0.759 μB per atom.

Cell: 4.7533 4.7533 12.4001 Å, 90.00 90.00 90.00°
Space group I4/mmm (No. 139)
Unique sites:
Ba: 0.0000 0.0000 0.0000 [2 per cell]
Ag: 0.0000 0.0000 0.3927 [4 per cell]
N: 0.0000 0.0000 0.2274 [4 per cell]
N: 0.0000 0.5000 0.0000 [4 per cell]

What is the formula in the first record? BaAgN3